(i)
Material: ScCd4Ag7
Method: DFT, GGA-PBE
State: relaxed

Calculated values
M_tot   0.00 μB/cell
Volume   19.18 A^3/atom

Structure (CIF):
```
data_ScCd4Ag7
_cell_length_a 4.7599
_cell_length_b 4.7599
_cell_length_c 11.7325
_cell_angle_alpha 90.00
_cell_angle_beta 90.00
_cell_angle_gamma 120.00
_space_group_name_H-M_alt 'P -3 m 1'
_space_group_IT_number 164
_space_group_name_Hall '-P 3 2"'
loop_
_atom_site_label
_atom_site_type_symbol
_atom_site_fract_x
_atom_site_fract_y
_atom_site_fract_z
Sc1 Sc 0.0000 0.0000 0.0000
Cd1 Cd 0.3333 0.6667 0.1636
Cd2 Cd 0.3333 0.6667 0.4186
Ag1 Ag 0.0000 0.0000 0.2525
Ag2 Ag 0.0000 0.0000 0.5000
Ag3 Ag 0.3333 0.6667 0.6700
Ag4 Ag 0.3333 0.6667 0.9145
```

(ii)
Material: ScCd4Ag7
Method: DFT, GGA-PBE
State: relaxed

Calculated values
M_tot   0.00 μB/cell
Volume   20.73 A^3/atom

Structure (CIF):
```
data_ScCd4Ag7
_cell_length_a 10.666
_cell_length_b 5.138
_cell_length_c 10.492
_cell_angle_alpha 90.00
_cell_angle_beta 120.09
_cell_angle_gamma 90.00
_space_group_name_H-M_alt 'C 1 2/m 1'
_space_group_IT_number 12
_space_group_name_Hall '-C 2y'
loop_
_atom_site_label
_atom_site_type_symbol
_atom_site_fract_x
_atom_site_fract_y
_atom_site_fract_z
Sc1 Sc 0.000 0.000 0.000
Cd1 Cd 0.087 0.500 0.311
Cd2 Cd 0.179 0.000 0.775
Ag1 Ag 0.000 0.500 0.000
Ag2 Ag 0.114 0.000 0.463
Ag3 Ag 0.166 0.500 0.624
Ag4 Ag 0.205 0.500 0.915
```

It is (i) that is most stable; the runner-up trails by 15.6 kJ/mol of atoms.

(i)
Material: Sc2Cd3Ag2
Method: DFT, GGA-PBE
State: relaxed

Calculated values
M_tot   0.81 μB/cell
Volume   21.10 A^3/atom

Structure (CIF):
```
data_Sc2Cd3Ag2
_cell_length_a 4.564
_cell_length_b 20.298
_cell_length_c 3.188
_cell_angle_alpha 90.00
_cell_angle_beta 90.00
_cell_angle_gamma 90.00
_space_group_name_H-M_alt 'C m m m'
_space_group_IT_number 65
_space_group_name_Hall '-C 2 2'
loop_
_atom_site_label
_atom_site_type_symbol
_atom_site_fract_x
_atom_site_fract_y
_atom_site_fract_z
Sc1 Sc 0.000 0.160 0.000
Cd1 Cd 0.000 0.000 0.000
Cd2 Cd 0.000 0.426 0.500
Ag1 Ag 0.000 0.288 0.500
```

(ii)
Material: Sc2Cd3Ag2
Method: DFT, GGA-PBE
State: relaxed

Calculated values
M_tot   0.00 μB/cell
Volume   20.66 A^3/atom

Structure (CIF):
```
data_Sc2Cd3Ag2
_cell_length_a 8.498
_cell_length_b 4.869
_cell_length_c 7.503
_cell_angle_alpha 90.00
_cell_angle_beta 111.29
_cell_angle_gamma 90.00
_space_group_name_H-M_alt 'C 1 2/m 1'
_space_group_IT_number 12
_space_group_name_Hall '-C 2y'
loop_
_atom_site_label
_atom_site_type_symbol
_atom_site_fract_x
_atom_site_fract_y
_atom_site_fract_z
Sc1 Sc 0.216 0.000 0.151
Cd1 Cd 0.000 0.500 0.000
Cd2 Cd 0.136 0.500 0.413
Ag1 Ag 0.076 0.000 0.723
```

It is (ii) that is most stable; the runner-up trails by 2.9 kJ/mol of atoms.

(i)
Material: ScCd2Ag6
Method: DFT, GGA-PBE
State: relaxed

Calculated values
M_tot   0.00 μB/cell
Volume   18.91 A^3/atom

Structure (CIF):
```
data_ScCd2Ag6
_cell_length_a 9.308
_cell_length_b 4.259
_cell_length_c 8.993
_cell_angle_alpha 90.00
_cell_angle_beta 107.32
_cell_angle_gamma 90.00
_space_group_name_H-M_alt 'C 1 2/m 1'
_space_group_IT_number 12
_space_group_name_Hall '-C 2y'
loop_
_atom_site_label
_atom_site_type_symbol
_atom_site_fract_x
_atom_site_fract_y
_atom_site_fract_z
Sc1 Sc 0.000 0.000 0.000
Cd1 Cd 0.176 0.500 0.229
Ag1 Ag 0.008 0.000 0.339
Ag2 Ag 0.161 0.500 0.888
Ag3 Ag 0.165 0.500 0.559
```

(ii)
Material: ScCd2Ag6
Method: DFT, GGA-PBE
State: relaxed

Calculated values
M_tot   0.51 μB/cell
Volume   19.40 A^3/atom

Structure (CIF):
```
data_ScCd2Ag6
_cell_length_a 14.429
_cell_length_b 8.333
_cell_length_c 2.904
_cell_angle_alpha 90.00
_cell_angle_beta 90.36
_cell_angle_gamma 90.00
_space_group_name_H-M_alt 'C 1 2/m 1'
_space_group_IT_number 12
_space_group_name_Hall '-C 2y'
loop_
_atom_site_label
_atom_site_type_symbol
_atom_site_fract_x
_atom_site_fract_y
_atom_site_fract_z
Sc1 Sc 0.000 0.000 0.000
Cd1 Cd 0.167 0.500 0.000
Ag1 Ag 0.000 0.331 0.500
Ag2 Ag 0.166 0.166 0.510
```

It is (i) that is most stable; the runner-up trails by 7.0 kJ/mol of atoms.